1.
LiSeCl after structural relaxation. Source: the Alexandria database, functional GGA-PBE.

POSCAR file:
```
LiSeCl
1.0
-1.5653 1.5653 8.8474
1.5653 -1.5653 8.8474
1.5653 1.5653 -8.8474
Li Se Cl
1 1 1
direct
0.0000 0.0000 0.0000 Li
0.7450 0.7450 0.0000 Se
0.4867 0.4867 0.0000 Cl
```

2.
Li2SeCl after structural relaxation. Source: the Alexandria database, functional GGA-PBE.

POSCAR file:
```
Li2SeCl
1.0
7.1572 -1.5374 0.0000
7.1572 1.5374 0.0000
-0.0359 0.0000 3.8587
Li Se Cl
2 1 1
direct
0.0000 0.0000 0.0000 Li
0.6444 0.6444 0.5064 Li
0.2048 0.2048 0.0084 Se
0.4805 0.4805 0.4998 Cl
```

3.
LiSeCl after structural relaxation. Source: the Alexandria database, functional GGA-PBE.

POSCAR file:
```
LiSeCl
1.0
3.1060 0.0000 0.0000
-1.5530 2.6899 0.0000
0.0000 0.0000 7.8317
Li Se Cl
1 1 1
direct
0.0000 0.0000 0.0000 Li
0.6667 0.3333 0.2899 Se
0.3333 0.6667 0.8134 Cl
```

4.
Li2SeCl after structural relaxation. Source: the Alexandria database, functional GGA-PBE.

POSCAR file:
```
Li2SeCl
1.0
0.0000 3.3200 3.3200
3.3200 0.0000 3.3200
3.3200 3.3200 0.0000
Li Se Cl
2 1 1
direct
0.2500 0.2500 0.2500 Li
0.7500 0.7500 0.7500 Li
0.0000 0.0000 0.0000 Se
0.5000 0.5000 0.5000 Cl
```

5.
LiSeCl after structural relaxation. Source: the Alexandria database, functional GGA-PBE.

POSCAR file:
```
LiSeCl
1.0
0.0000 3.1579 3.1579
3.1579 0.0000 3.1579
3.1579 3.1579 0.0000
Li Se Cl
1 1 1
direct
0.0000 0.0000 0.0000 Li
0.2500 0.2500 0.2500 Se
0.7500 0.7500 0.7500 Cl
```

6.
LiSeCl after structural relaxation. Source: the Alexandria database, functional GGA-PBE.

POSCAR file:
```
LiSeCl
1.0
3.6025 0.0000 0.0000
0.0105 3.6032 0.0000
0.3636 0.3596 10.5024
Li Se Cl
2 2 2
direct
0.0000 0.0000 0.0000 Li
0.4783 0.4786 0.2123 Li
0.0148 0.0098 0.6420 Se
0.4703 0.4651 0.5677 Se
0.5023 0.5021 0.9770 Cl
0.9763 0.9764 0.2353 Cl
```

7.
Li2SeCl after structural relaxation. Source: the Alexandria database, functional GGA-PBE.

POSCAR file:
```
Li2SeCl
1.0
0.0000 3.4409 3.4409
3.4409 0.0000 3.4409
3.4409 3.4409 0.0000
Li Se Cl
2 1 1
direct
0.0000 0.0000 0.0000 Li
0.2500 0.2500 0.2500 Li
0.5000 0.5000 0.5000 Se
0.7500 0.7500 0.7500 Cl
```

8.
LiSeCl after structural relaxation. Source: the Alexandria database, functional GGA-PBE.

POSCAR file:
```
LiSeCl
1.0
3.5424 -1.9099 0.0000
3.5424 1.9099 0.0000
-1.2345 0.0000 10.5399
Li Se Cl
2 2 2
direct
0.0000 0.0000 0.0000 Li
0.6322 0.6322 0.7005 Li
0.2528 0.2528 0.2348 Se
0.7700 0.7700 0.3753 Se
0.3000 0.3000 0.6468 Cl
0.6675 0.6675 0.9437 Cl
```

Asked for formation energy (no corrections) across the records above, the calculation gives -0.719, -1.181, -0.595, -0.881, -0.326, -1.134, -0.454, -1.069 eV/atom in order.
Asked for electronic total energy across the records above, the calculation gives -9.4, -13.9, -9.0, -12.7, -8.2, -21.3, -11.0, -20.9 eV/cell in order.
Asked for energy above the lowest structure with this stoichiometry across the records above, the calculation gives 0.4156, 0.0514, 0.5395, 0.3516, 0.8087, 0.0000, 0.7779, 0.0657 eV per atom in order.